LiTl2Hg2 after structural relaxation, computed with PBE-GGA.

For the calculated total energy, the calculation gives -1.396 eV/atom. As for the density: 9.46 g/cm3. The value obtained for the density of states at the Fermi level is 6.4 states/eV/cell. The value obtained for the formation enthalpy at 0 K is 0.27 eV/f.u. Its spin magnetization is 0.00 μB per cell. The calculation puts the distance to the lowest polymorph of the same formula at 12.6 kJ/mol of atoms.

a = 4.166 Å, b = 4.166 Å, c = 16.518 Å
α = 90.00°, β = 90.00°, γ = 90.00°
Space group I4/mmm (No. 139)
One atom of each set of equivalent atoms:
Li  0.000  0.000  0.000
Tl  0.000  0.000  0.405
Hg  0.000  0.500  0.250



Li8TlHg2 after structural relaxation, computed with PBE-GGA.

For the calculated total energy, the calculation gives -1.865 eV/atom. As for the density: 5.09 g/cm3. The value obtained for the density of states at the Fermi level is 4.1 states/eV/cell. The value obtained for the formation enthalpy at 0 K is -2.23 eV/f.u. Its spin magnetization is 0.00 μB per cell. The calculation puts the distance to the lowest polymorph of the same formula at 4.4 kJ/mol of atoms.

a = 7.700 Å, b = 12.959 Å, c = 4.737 Å
α = 90.00°, β = 114.09°, γ = 90.00°
Space group C2/m (No. 12)
One atom of each set of equivalent atoms:
Li  0.000  0.217  0.000
Li  0.106  0.500  0.811
Li  0.201  0.116  0.628
Tl  0.000  0.000  0.000
Hg  0.000  0.314  0.500



Li15TlHg4 after structural relaxation, computed with PBE-GGA.

For the calculated total energy, the calculation gives -1.870 eV/atom. As for the density: 5.15 g/cm3. The value obtained for the density of states at the Fermi level is 4.1 states/eV/cell. The value obtained for the formation enthalpy at 0 K is -5.13 eV/f.u. Its spin magnetization is 0.00 μB per cell.

a = 4.336 Å, b = 4.336 Å, c = 19.065 Å
α = 90.00°, β = 90.00°, γ = 90.00°
Space group P4/mmm (No. 123)
One atom of each set of equivalent atoms:
Li  0.000  0.000  0.000
Li  0.000  0.000  0.203
Li  0.000  0.000  0.401
Li  0.000  0.500  0.105
Li  0.000  0.500  0.302
Li  0.000  0.500  0.500
Tl  0.500  0.500  0.000
Hg  0.500  0.500  0.203
Hg  0.500  0.500  0.401



LiTl2Hg2 after structural relaxation, computed with PBE-GGA.

For the calculated total energy, the calculation gives -1.527 eV/atom. As for the density: 9.94 g/cm3. The value obtained for the density of states at the Fermi level is 8.4 states/eV/cell. The value obtained for the formation enthalpy at 0 K is -0.38 eV/f.u. Its spin magnetization is 0.00 μB per cell. The calculation puts the distance to the lowest polymorph of the same formula at 0.0 kJ/mol of atoms.

a = 6.526 Å, b = 13.033 Å, c = 6.417 Å
α = 90.00°, β = 90.00°, γ = 90.00°
Space group Ibam (No. 72)
One atom of each set of equivalent atoms:
Li  0.000  0.000  0.250
Tl  0.214  0.362  0.000
Hg  0.242  0.125  0.000



Li4Tl5Hg2 after structural relaxation, computed with PBE-GGA.

For the calculated total energy, the calculation gives -1.977 eV/atom. As for the density: 9.33 g/cm3. The value obtained for the density of states at the Fermi level is 8.7 states/eV/cell. The value obtained for the formation enthalpy at 0 K is -1.66 eV/f.u. Its spin magnetization is 0.00 μB per cell.

a = 11.705 Å, b = 5.081 Å, c = 8.694 Å
α = 90.00°, β = 93.23°, γ = 90.00°
Space group C2/m (No. 12)
One atom of each set of equivalent atoms:
Li  0.041  0.000  0.298
Li  0.161  0.500  0.777
Tl  0.000  0.500  0.500
Tl  0.147  0.000  0.967
Tl  0.197  0.000  0.585
Hg  0.084  0.500  0.156



Li2Tl2Hg7 after structural relaxation, computed with PBE-GGA.

For the calculated total energy, the calculation gives -1.081 eV/atom. As for the density: 11.07 g/cm3. The value obtained for the density of states at the Fermi level is 5.1 states/eV/cell. The value obtained for the formation enthalpy at 0 K is -1.22 eV/f.u. Its spin magnetization is 0.00 μB per cell. The calculation puts the distance to the lowest polymorph of the same formula at 0.0 kJ/mol of atoms.

a = 14.851 Å, b = 10.616 Å, c = 3.574 Å
α = 90.00°, β = 103.43°, γ = 90.00°
Space group C2/m (No. 12)
One atom of each set of equivalent atoms:
Li  0.000  0.216  0.000
Tl  0.114  0.500  0.130
Hg  0.000  0.000  0.500
Hg  0.155  0.246  0.659
Hg  0.191  0.000  0.194



Li4TlHg4 after structural relaxation, computed with PBE-GGA.

For the calculated total energy, the calculation gives -1.476 eV/atom. As for the density: 9.13 g/cm3. The value obtained for the density of states at the Fermi level is 8.7 states/eV/cell. The value obtained for the formation enthalpy at 0 K is -2.06 eV/f.u. Its spin magnetization is 0.00 μB per cell.

a = 8.533 Å, b = 8.533 Å, c = 5.168 Å
α = 90.00°, β = 90.00°, γ = 90.00°
Space group P4_2/n (No. 86, origin choice 2)
One atom of each set of equivalent atoms:
Li  0.091  0.809  0.231
Tl  0.250  0.250  0.750
Hg  0.017  0.135  0.266



LiTlHg2 after structural relaxation, computed with PBE-GGA.

For the calculated total energy, the calculation gives -1.398 eV/atom. As for the density: 10.76 g/cm3. The value obtained for the density of states at the Fermi level is 1.2 states/eV/cell. The value obtained for the formation enthalpy at 0 K is -0.71 eV/f.u. Its spin magnetization is 0.00 μB per cell. The calculation puts the distance to the lowest polymorph of the same formula at 0.2 kJ/mol of atoms.

a = 3.373 Å, b = 3.700 Å, c = 7.571 Å
α = 90.00°, β = 90.00°, γ = 90.00°
Space group Pmmm (No. 47)
One atom of each set of equivalent atoms:
Li  0.000  0.000  0.000
Tl  0.000  0.000  0.500
Hg  0.500  0.500  0.206



Li3Tl2Hg9 after structural relaxation, computed with PBE-GGA.

For the calculated total energy, the calculation gives -1.083 eV/atom. As for the density: 10.97 g/cm3. The value obtained for the density of states at the Fermi level is 19.3 states/eV/cell. The value obtained for the formation enthalpy at 0 K is -1.97 eV/f.u. Its spin magnetization is 0.00 μB per cell.

a = 14.362 Å, b = 8.423 Å, c = 12.019 Å
α = 90.00°, β = 111.45°, γ = 90.00°
Space group C2/c (No. 15)
One atom of each set of equivalent atoms:
Li  0.081  0.243  0.480
Li  0.250  0.250  0.000
Tl  0.153  0.099  0.250
Hg  0.000  0.408  0.250
Hg  0.059  0.094  0.930
Hg  0.109  0.426  0.064
Hg  0.128  0.285  0.742
Hg  0.234  0.419  0.422



Li2Tl3Hg4 after structural relaxation, computed with PBE-GGA.

For the calculated total energy, the calculation gives -1.464 eV/atom. As for the density: 10.37 g/cm3. The value obtained for the density of states at the Fermi level is 6.9 states/eV/cell. The value obtained for the formation enthalpy at 0 K is -1.05 eV/f.u. Its spin magnetization is 0.00 μB per cell.

a = 10.789 Å, b = 4.961 Å, c = 9.142 Å
α = 90.00°, β = 110.73°, γ = 90.00°
Space group C2/m (No. 12)
One atom of each set of equivalent atoms:
Li  0.191  0.000  0.371
Tl  0.000  0.500  0.000
Tl  0.132  0.000  0.690
Hg  0.069  0.500  0.374
Hg  0.203  0.000  0.074



LiTlHg2 after structural relaxation, computed with PBE-GGA.

For the calculated total energy, the calculation gives -1.308 eV/atom. As for the density: 10.02 g/cm3. The value obtained for the density of states at the Fermi level is 8.2 states/eV/cell. The value obtained for the formation enthalpy at 0 K is -0.35 eV/f.u. Its spin magnetization is 0.00 μB per cell. The calculation puts the distance to the lowest polymorph of the same formula at 8.9 kJ/mol of atoms.

a = 8.096 Å, b = 8.096 Å, c = 6.193 Å
α = 90.00°, β = 90.00°, γ = 90.00°
Space group I-42d (No. 122)
One atom of each set of equivalent atoms:
Li  0.000  0.000  0.000
Tl  0.000  0.000  0.500
Hg  0.209  0.250  0.125



Li2Tl3Hg9 after structural relaxation, computed with PBE-GGA.

For the calculated total energy, the calculation gives -1.072 eV/atom. As for the density: 11.07 g/cm3. The value obtained for the density of states at the Fermi level is 10.0 states/eV/cell. The value obtained for the formation enthalpy at 0 K is -1.36 eV/f.u. Its spin magnetization is 0.00 μB per cell.

a = 4.440 Å, b = 12.530 Å, c = 13.119 Å
α = 90.00°, β = 90.00°, γ = 90.00°
Space group Immm (No. 71)
One atom of each set of equivalent atoms:
Li  0.000  0.162  0.000
Tl  0.000  0.000  0.215
Tl  0.000  0.000  0.500
Hg  0.000  0.301  0.358
Hg  0.000  0.364  0.129
Hg  0.000  0.500  0.500



Li5TlHg4 after structural relaxation, computed with PBE-GGA.

For the calculated total energy, the calculation gives -1.659 eV/atom. As for the density: 9.13 g/cm3. The value obtained for the density of states at the Fermi level is 2.5 states/eV/cell. The value obtained for the formation enthalpy at 0 K is -3.45 eV/f.u. Its spin magnetization is 0.00 μB per cell.

a = 3.387 Å, b = 3.387 Å, c = 16.517 Å
α = 90.00°, β = 90.00°, γ = 90.00°
Space group P4/mmm (No. 123)
One atom of each set of equivalent atoms:
Li  0.000  0.000  0.000
Li  0.000  0.000  0.194
Li  0.000  0.000  0.386
Tl  0.500  0.500  0.500
Hg  0.500  0.500  0.097
Hg  0.500  0.500  0.291



Li3Tl3Hg2 after structural relaxation, computed with PBE-GGA.

For the calculated total energy, the calculation gives -1.888 eV/atom. As for the density: 9.43 g/cm3. The value obtained for the density of states at the Fermi level is 2.9 states/eV/cell. The value obtained for the formation enthalpy at 0 K is -1.66 eV/f.u. Its spin magnetization is 0.00 μB per cell.

a = 8.0081 Å, b = 8.0081 Å, c = 3.2806 Å
α = 90.00°, β = 90.00°, γ = 120.00°
Space group P-62m (No. 189)
One atom of each set of equivalent atoms:
Li  0.0000  0.6019  0.0000
Tl  0.0000  0.2410  0.5000
Hg  0.3333  0.6667  0.5000



Li4TlHg15 after structural relaxation, computed with PBE-GGA.

For the calculated total energy, the calculation gives -0.855 eV/atom. As for the density: 11.45 g/cm3. The value obtained for the density of states at the Fermi level is 10.3 states/eV/cell. The value obtained for the formation enthalpy at 0 K is -2.55 eV/f.u. Its spin magnetization is 0.00 μB per cell.

a = 4.627 Å, b = 4.627 Å, c = 21.956 Å
α = 90.00°, β = 90.00°, γ = 90.00°
Space group P4/mmm (No. 123)
One atom of each set of equivalent atoms:
Li  0.000  0.000  0.095
Li  0.000  0.000  0.286
Tl  0.000  0.000  0.500
Hg  0.000  0.500  0.000
Hg  0.000  0.500  0.192
Hg  0.000  0.500  0.385
Hg  0.500  0.500  0.096
Hg  0.500  0.500  0.287
Hg  0.500  0.500  0.500



LiTlHg2 after structural relaxation, computed with PBE-GGA.

For the calculated total energy, the calculation gives -1.350 eV/atom. As for the density: 10.51 g/cm3. The value obtained for the density of states at the Fermi level is 2.8 states/eV/cell. The value obtained for the formation enthalpy at 0 K is -0.51 eV/f.u. Its spin magnetization is 0.00 μB per cell. The calculation puts the distance to the lowest polymorph of the same formula at 4.9 kJ/mol of atoms.

a = 10.068 Å, b = 3.848 Å, c = 5.212 Å
α = 90.00°, β = 106.49°, γ = 90.00°
Space group Cm (No. 8)
One atom of each set of equivalent atoms:
Li  0.000  0.000  0.000
Tl  0.253  0.500  0.278
Hg  0.013  0.500  0.551
Hg  0.269  0.000  0.811



LiTl8Hg6 after structural relaxation, computed with PBE-GGA.

For the calculated total energy, the calculation gives -1.523 eV/atom. As for the density: 10.99 g/cm3. The value obtained for the density of states at the Fermi level is 18.6 states/eV/cell. The value obtained for the formation enthalpy at 0 K is -0.19 eV/f.u. Its spin magnetization is 0.00 μB per cell.

a = 8.7815 Å, b = 8.7815 Å, c = 19.3225 Å
α = 90.00°, β = 90.00°, γ = 120.00°
Space group R-3 (No. 148, hexagonal axes)
One atom of each set of equivalent atoms:
Li  0.0000  0.0000  0.0000
Tl  0.0000  0.0000  0.4159
Tl  0.0502  0.8042  0.1402
Hg  0.0358  0.2827  0.6979



LiTl3Hg3 after structural relaxation, computed with PBE-GGA.

For the calculated total energy, the calculation gives -1.157 eV/atom. As for the density: 6.73 g/cm3. The value obtained for the density of states at the Fermi level is 10.6 states/eV/cell. The value obtained for the formation enthalpy at 0 K is 1.82 eV/f.u. Its spin magnetization is 0.00 μB per cell. The calculation puts the distance to the lowest polymorph of the same formula at 31.7 kJ/mol of atoms.

a = 8.450 Å, b = 8.450 Å, c = 8.450 Å
α = 90.00°, β = 90.00°, γ = 90.00°
Space group Pm-3n (No. 223)
One atom of each set of equivalent atoms:
Li  0.000  0.000  0.000
Tl  0.000  0.250  0.500
Hg  0.000  0.500  0.250



LiTlHg2 after structural relaxation, computed with PBE-GGA.

For the calculated total energy, the calculation gives -1.401 eV/atom. As for the density: 10.82 g/cm3. The value obtained for the density of states at the Fermi level is 2.1 states/eV/cell. The value obtained for the formation enthalpy at 0 K is -0.72 eV/f.u. Its spin magnetization is 0.00 μB per cell. The calculation puts the distance to the lowest polymorph of the same formula at 0.0 kJ/mol of atoms.

a = 7.374 Å, b = 3.346 Å, c = 7.623 Å
α = 90.00°, β = 90.00°, γ = 90.00°
Space group Pmma (No. 51)
One atom of each set of equivalent atoms:
Li  0.250  0.000  0.040
Tl  0.250  0.000  0.473
Hg  0.031  0.500  0.796



Li3TlHg10 after structural relaxation, computed with PBE-GGA.

For the calculated total energy, the calculation gives -0.913 eV/atom. As for the density: 10.74 g/cm3. The value obtained for the density of states at the Fermi level is 50.2 states/eV/cell. The value obtained for the formation enthalpy at 0 K is -1.65 eV/f.u. Its spin magnetization is 0.00 μB per cell.

a = 14.025 Å, b = 14.025 Å, c = 14.025 Å
α = 90.00°, β = 90.00°, γ = 90.00°
Space group Fm-3m (No. 225)
One atom of each set of equivalent atoms:
Li  0.000  0.000  0.224
Tl  0.250  0.250  0.250
Hg  0.000  0.167  0.333
Hg  0.119  0.119  0.119